Compound: CdMoPt2O
Source: the Alexandria database
Functional: PBE with a Hubbard U
Structure: relaxed

Calculated values
electronic total energy	-4.57	eV per atom
volume	17.2	Å³/atom
SG	P4/mmm, No. 123

Cell and atoms, written as POSCAR:
```
CdMoPt2O
1.0
4.421 0.000 0.000
0.000 4.411 0.000
0.000 0.000 4.421
Pt O Cd Mo
2 1 1 1
direct
0.000 0.000 0.500
0.500 0.000 0.000
0.000 0.000 0.000
0.000 0.500 0.000
0.500 0.500 0.500
```